# BaNa2LiAg, optimized geometry, DFT PBE-GGA
# Crystal system = tetragonal
# Distance to the lowest polymorph of the same formula = 1.3 kJ per mole of atoms
# D(E_F) = 0.64 states/eV per atom
# Formation energy from the elements = 0.06 eV/atom
# Spin magnetization = 0.0 μB per formula unit
data_BaNa2LiAg
_chemical_formula_sum 'Ba1 Na2 Li1 Ag1'
_cell_length_a 5.760
_cell_length_b 5.760
_cell_length_c 5.315
_cell_angle_alpha 90.00
_cell_angle_beta 90.00
_cell_angle_gamma 90.00
_space_group_name_H-M_alt 'P 4/m m m'
_space_group_IT_number 123
_space_group_name_Hall '-P 4 2'
loop_
_atom_site_label
_atom_site_type_symbol
_atom_site_fract_x
_atom_site_fract_y
_atom_site_fract_z
Ba1 Ba 0.000 0.000 0.000
Na1 Na 0.000 0.500 0.500
Li1 Li 0.500 0.500 0.000
Ag1 Ag 0.500 0.500 0.500